DFT (meta-GGA SCAN) results for LaYCoSi2 at its PBEsol-relaxed geometry.

Computed properties:
The calculation puts the uncorrected formation energy at 133.16 kJ per mole of atoms. The density comes out at 3.97 g cm⁻³.

CIF file:
```
data_LaYCoSi2
_space_group_name_H-M_alt 'P 4/m m m'
_space_group_IT_number 123
_space_group_name_Hall '-P 4 2'
_cell_length_a 5.1302
_cell_length_b 5.1302
_cell_length_c 5.4493
_cell_angle_alpha 90.00
_cell_angle_beta 90.00
_cell_angle_gamma 90.00
loop_
_atom_site_label
_atom_site_fract_x
_atom_site_fract_y
_atom_site_fract_z
La1 0.0000 0.0000 0.0000
Y1 0.0000 0.0000 0.5000
Co1 0.5000 0.5000 0.0000
Si1 0.0000 0.5000 0.5000
```

DFT (meta-GGA SCAN) results for SrSi2Se at its PBEsol-relaxed geometry.

Computed properties:
The calculation puts the uncorrected formation energy at 34.13 kJ per mole of atoms. The density comes out at 4.01 g cm⁻³.

CIF file:
```
data_SrSi2Se
_space_group_name_H-M_alt 'R -3 m'
_space_group_IT_number 166
_space_group_name_Hall '-R 3 2"'
_cell_length_a 3.6058
_cell_length_b 3.6058
_cell_length_c 24.5844
_cell_angle_alpha 90.00
_cell_angle_beta 90.00
_cell_angle_gamma 120.00
loop_
_atom_site_label
_atom_site_fract_x
_atom_site_fract_y
_atom_site_fract_z
Sr1 0.0000 0.0000 0.0000
Si1 0.0000 0.0000 0.2340
Se1 0.0000 0.0000 0.5000
```

DFT (meta-GGA SCAN) results for LiNb2P2O10 at its PBEsol-relaxed geometry.

Computed properties:
The calculation puts the uncorrected formation energy at -248.37 kJ per mole of atoms. The density comes out at 3.96 g cm⁻³.

CIF file:
```
data_LiNb2P2O10
_space_group_name_H-M_alt 'C 1 2/m 1'
_space_group_IT_number 12
_cell_length_a 9.4722
_cell_length_b 9.2815
_cell_length_c 3.9541
_cell_angle_alpha 90.00
_cell_angle_beta 92.21
_cell_angle_gamma 90.00
loop_
_space_group_symop_operation_xyz
'x,y,z'
'-x,-y,-z'
'-x,y,-z'
'x,-y,z'
'x+1/2,y+1/2,z'
'-x+1/2,-y+1/2,-z'
'-x+1/2,y+1/2,-z'
'x+1/2,-y+1/2,z'
loop_
_atom_site_label
_atom_site_fract_x
_atom_site_fract_y
_atom_site_fract_z
Li1 0.0000 0.0000 0.0000
Nb1 0.2367 0.5000 0.3025
P1 0.0000 0.2452 0.5000
O1 0.0942 0.3408 0.2850
O2 0.0951 0.1464 0.7253
O3 0.2457 0.5000 0.7929
```